Entry 1:
Here is BaCaW2 after structural relaxation from Alexandria via LeMat-Bulk. Energies are from GGA-PBE.

## Properties
Formation enthalpy at 0 K   638 meV per atom
Electronic total energy   -6.82 eV per atom
Spin magnetization   0.00 μB/f.u.
D(E_F)   1.1578 states/eV/atom
Excess energy over the best structure of this formula in the dataset   0 meV/atom

Cell lengths 3.4430, 3.4430, 9.6155 Å; angles 90.00, 90.00, 90.00 degrees
With the nearest neighbours (Å) after each atom.
Space group P4mm (No. 99)
Asymmetric unit:
Ba  0.0000  0.0000  0.0000 (multiplicity 1)  4 Ba 3.44, 5 W 3.63-3.69
Ca  0.5000  0.5000  0.3829 (multiplicity 1)  5 W 3.24-3.31, 4 Ca 3.44
W  0.0000  0.0000  0.6167 (multiplicity 1)  4 W 2.63
W  0.5000  0.5000  0.7196 (multiplicity 1)  4 W 2.63

Entry 2:
Here is BaCaW2 after structural relaxation from Alexandria via LeMat-Bulk. Energies are from GGA-PBE.

## Properties
Formation enthalpy at 0 K   1983 meV per atom
Electronic total energy   -5.47 eV per atom
Spin magnetization   1.34 μB/f.u.
D(E_F)   1.4856 states/eV/atom
Excess energy over the best structure of this formula in the dataset   1345 meV/atom

Cell lengths 8.6473, 8.6473, 5.5466 Å; angles 90.00, 90.00, 90.00 degrees
With the nearest neighbours (Å) after each atom.
Space group I-42d (No. 122)
Asymmetric unit:
Ba  0.0000  0.0000  0.0000 (multiplicity 4)  2 Ca 2.77
Ca  0.0000  0.0000  0.5000 (multiplicity 4)  2 Ba 2.77, 4 W 3.08
W  0.2402  0.2500  0.6250 (multiplicity 8)  2 W 2.78, 2 Ca 3.08

Entry 3:
Here is BaCaW2 after structural relaxation from Alexandria via LeMat-Bulk. Energies are from GGA-PBE.

## Properties
Formation enthalpy at 0 K   852 meV per atom
Electronic total energy   -6.61 eV per atom
Spin magnetization   0.00 μB/f.u.
D(E_F)   0.9655 states/eV/atom
Excess energy over the best structure of this formula in the dataset   213 meV/atom

Cell lengths 8.5207, 3.2919, 8.6795 Å; angles 90.00, 93.66, 90.00 degrees
With the nearest neighbours (Å) after each atom.
Space group Cm (No. 8)
Asymmetric unit:
Ba  0.0000  0.0000  0.0000 (multiplicity 2)  5 W 3.24-3.57, 2 Ba 3.29
Ca  0.2227  0.0000  0.5893 (multiplicity 2)  5 W 3.02-3.24, 2 Ca 3.29
W  0.2575  0.5000  0.2722 (multiplicity 2)  3 W 2.56-2.58
W  0.4774  0.0000  0.3627 (multiplicity 2)  3 W 2.56-2.58

Entry 4:
Here is BaCaW2 after structural relaxation from Alexandria via LeMat-Bulk. Energies are from GGA-PBE.

## Properties
Formation enthalpy at 0 K   1822 meV per atom
Electronic total energy   -5.64 eV per atom
Spin magnetization   0.00 μB/f.u.
D(E_F)   1.4738 states/eV/atom
Excess energy over the best structure of this formula in the dataset   1184 meV/atom

Cell lengths 5.8123, 5.8123, 2.9090 Å; angles 90.00, 90.00, 90.00 degrees
With the nearest neighbours (Å) after each atom.
Space group P4/mmm (No. 123)
Asymmetric unit:
Ba  0.0000  0.0000  0.0000 (multiplicity 1)  2 Ba 2.91, 8 W 3.25
Ca  0.5000  0.5000  0.0000 (multiplicity 1)  2 Ca 2.91, 8 W 3.25
W  0.0000  0.5000  0.5000 (multiplicity 2)  2 W 2.91, 4 Ca 3.25, 4 Ba 3.25

Entry 5:
Here is BaCaW2 after structural relaxation from Alexandria via LeMat-Bulk. Energies are from GGA-PBE.

## Properties
Formation enthalpy at 0 K   1474 meV per atom
Electronic total energy   -5.98 eV per atom
Spin magnetization   0.00 μB/f.u.
D(E_F)   1.4619 states/eV/atom
Excess energy over the best structure of this formula in the dataset   836 meV/atom

Cell lengths 3.0476, 3.0476, 34.4446 Å; angles 90.00, 90.00, 120.00 degrees
With the nearest neighbours (Å) after each atom.
Space group R-3m (No. 166, hexagonal axes)
Asymmetric unit:
Ba  0.0000  0.0000  0.0000 (multiplicity 3)  6 Ba 3.05
Ca  0.0000  0.0000  0.5000 (multiplicity 3)  6 Ca 3.05, 6 W 3.18
W  0.0000  0.0000  0.2437 (multiplicity 6)  6 W 3.05, 3 Ca 3.18

Entry 6:
Here is BaCaW2 after structural relaxation from Alexandria via LeMat-Bulk. Energies are from GGA-PBE.

## Properties
Formation enthalpy at 0 K   1384 meV per atom
Electronic total energy   -6.07 eV per atom
Spin magnetization   0.00 μB/f.u.
D(E_F)   0.8343 states/eV/atom
Excess energy over the best structure of this formula in the dataset   746 meV/atom

Cell lengths 5.7564, 10.9840, 2.9237 Å; angles 90.00, 97.38, 90.00 degrees
With the nearest neighbours (Å) after each atom.
Space group C2/m (No. 12)
Asymmetric unit:
Ba  0.0000  0.0000  0.0000 (multiplicity 2)  2 Ca 2.88, 2 Ba 2.92
Ca  0.0000  0.5000  0.0000 (multiplicity 2)  2 Ba 2.88, 2 Ca 2.92
W  0.2500  0.2500  0.5000 (multiplicity 4)  4 W 2.88-2.92

Entry 7:
Here is BaCaW2 after structural relaxation from Alexandria via LeMat-Bulk. Energies are from GGA-PBE.

## Properties
Formation enthalpy at 0 K   1989 meV per atom
Electronic total energy   -5.47 eV per atom
Spin magnetization   5.08 μB/f.u.
D(E_F)   1.4426 states/eV/atom
Excess energy over the best structure of this formula in the dataset   1351 meV/atom

Cell lengths 7.4798, 7.4798, 7.4798 Å; angles 90.00, 90.00, 90.00 degrees
With the nearest neighbours (Å) after each atom.
Space group Fm-3m (No. 225)
Asymmetric unit:
Ba  0.0000  0.0000  0.0000 (multiplicity 4)  8 W 3.24
Ca  0.0000  0.0000  0.5000 (multiplicity 4)  8 W 3.24
W  0.2500  0.2500  0.2500 (multiplicity 8)  4 Ba 3.24, 4 Ca 3.24

Entry 8:
Here is BaCaW2 after structural relaxation from Alexandria via LeMat-Bulk. Energies are from GGA-PBE.

## Properties
Formation enthalpy at 0 K   1402 meV per atom
Electronic total energy   -6.06 eV per atom
Spin magnetization   0.00 μB/f.u.
D(E_F)   0.9303 states/eV/atom
Excess energy over the best structure of this formula in the dataset   763 meV/atom

Cell lengths 4.0628, 4.0628, 5.5155 Å; angles 90.00, 90.00, 90.00 degrees
With the nearest neighbours (Å) after each atom.
Space group P4/mmm (No. 123)
Asymmetric unit:
Ba  0.0000  0.0000  0.0000 (multiplicity 1)  4 Ca 2.87
Ca  0.5000  0.5000  0.0000 (multiplicity 1)  4 Ba 2.87
W  0.0000  0.5000  0.5000 (multiplicity 2)  4 W 2.87

Entry 9:
Here is BaCaW2 after structural relaxation from Alexandria via LeMat-Bulk. Energies are from GGA-PBE.

## Properties
Formation enthalpy at 0 K   1392 meV per atom
Electronic total energy   -6.07 eV per atom
Spin magnetization   0.00 μB/f.u.
D(E_F)   0.9876 states/eV/atom
Excess energy over the best structure of this formula in the dataset   754 meV/atom

Cell lengths 3.7191, 4.4301, 10.9954 Å; angles 90.00, 90.00, 90.00 degrees
With the nearest neighbours (Å) after each atom.
Space group Immm (No. 71)
Asymmetric unit:
Ba  0.0000  0.0000  0.0000 (multiplicity 2)  4 Ca 2.89
Ca  0.0000  0.0000  0.5000 (multiplicity 2)  4 Ba 2.89
W  0.0000  0.5000  0.2462 (multiplicity 4)  4 W 2.89

Entry 10:
Here is BaCa3W after structural relaxation from Alexandria via LeMat-Bulk. Energies are from GGA-PBE.

## Properties
Formation enthalpy at 0 K   2170 meV per atom
Electronic total energy   -2.01 eV per atom
Spin magnetization   0.00 μB/f.u.
D(E_F)   2.6226 states/eV/atom
Excess energy over the best structure of this formula in the dataset   1407 meV/atom

Cell lengths 5.5566, 5.5566, 5.5566 Å; angles 90.00, 90.00, 90.00 degrees
With the nearest neighbours (Å) after each atom.
Space group Pm-3m (No. 221)
Asymmetric unit:
Ba  0.0000  0.0000  0.0000 (multiplicity 1)  6 Ca 2.78
Ca  0.0000  0.0000  0.5000 (multiplicity 3)  2 Ba 2.78
W  0.5000  0.5000  0.5000 (multiplicity 1)  12 Ca 3.93

Entry 11:
Here is BaCaW2 after structural relaxation from Alexandria via LeMat-Bulk. Energies are from GGA-PBE.

## Properties
Formation enthalpy at 0 K   928 meV per atom
Electronic total energy   -6.53 eV per atom
Spin magnetization   0.00 μB/f.u.
D(E_F)   0.8668 states/eV/atom
Excess energy over the best structure of this formula in the dataset   290 meV/atom

Cell lengths 3.5369, 5.6321, 11.1476 Å; angles 90.00, 90.00, 90.00 degrees
With the nearest neighbours (Å) after each atom.
Space group Imm2 (No. 44)
Asymmetric unit:
Ba  0.0000  0.0000  0.0000 (multiplicity 2)  8 W 3.43-3.77, 2 Ba 3.54, 4 Ca 3.67
Ca  0.0000  0.5000  0.7887 (multiplicity 2)  8 W 3.40-3.69, 2 Ca 3.54, 4 Ba 3.67
W  0.0000  0.0000  0.5752 (multiplicity 2)  2 W 2.43
W  0.0000  0.5000  0.2249 (multiplicity 2)  2 W 2.43

Entry 12:
Here is BaCaW3 after structural relaxation from Alexandria via LeMat-Bulk. Energies are from GGA-PBE.

## Properties
Formation enthalpy at 0 K   3013 meV per atom
Electronic total energy   -5.54 eV per atom
Spin magnetization   0.00 μB/f.u.
D(E_F)   1.4140 states/eV/atom
Excess energy over the best structure of this formula in the dataset   0 meV/atom

Cell lengths 4.9940, 4.9940, 4.9940 Å; angles 90.00, 90.00, 90.00 degrees
With the nearest neighbours (Å) after each atom.
Space group Pm-3m (No. 221)
Asymmetric unit:
Ba  0.0000  0.0000  0.0000 (multiplicity 1)  12 W 3.53
Ca  0.5000  0.5000  0.5000 (multiplicity 1)  6 W 2.50
W  0.0000  0.5000  0.5000 (multiplicity 3)  2 Ca 2.50